PrSm6Ho6 (PBE, relaxed); final energy = -4.4443 eV per atom; formation energy from the elements = 0.214 eV/atom; SG = Cmmm, No. 65
1.0
-4.0731 -5.1917 -0.5591
6.3632 -1.4881 1.0732
-1.8037 0.2291 11.0126
Pr Sm Ho
1 6 6
Cartesian
0.0000 0.0000 0.0000
-1.2010 0.1525 7.3323
-0.6028 0.0766 3.6803
2.6303 -2.8129 0.4893
-0.3402 -3.8668 0.0247
2.6816 -2.3600 6.1447
-2.1953 -4.0907 5.3819
1.7858 -0.5667 9.0584
-3.4323 -2.4186 8.2421
-0.1168 -3.1796 7.9610
-2.4445 -2.5440 2.2114
2.7736 -0.6922 3.0274
0.6031 -3.2710 3.5657